{"formula": "CrSNF2", "functional": "PBE with a Hubbard U", "state": "optimized geometry", "rho_g_cm3": 3.242, "n_ef_per_ev_atom": 0.818, "dft_energy_ev_per_atom": -4.85, "magmom_total_mub_per_fu": 4.7, "de_polymorph_mev_per_atom": 286, "cell": [[4.5826, 0.0000, 0.0000], [0.0000, 4.5826, 0.0000], [0.0000, 0.0000, 3.3189]], "species": ["Cr", "S", "N", "F", "F"], "frac_coords": [[0.0000, 0.0000, 0.0000], [0.5000, 0.5000, 0.5000], [0.5000, 0.5000, 0.0000], [0.0000, 0.5000, 0.5000], [0.5000, 0.0000, 0.5000]]}